# 1
First-principles (GGA-PBE) data for a relaxed structure of ZnCd2Sn, as listed in the Alexandria database.

Crystal system: trigonal
ΔH_f (0 K), kcal/mol of atoms: 3.8
Theoretical density, g/cm³: 7.03
Energy relative to the lowest polymorph listed for this composition, eV/atom: 0.079
Electronic total energy, eV per atom: -1.611

Cell and atoms, written as CIF:
```
data_ZnCd2Sn
_chemical_formula_sum 'Zn3 Cd6 Sn3'
_cell_length_a 3.1007
_cell_length_b 3.1007
_cell_length_c 34.8138
_cell_angle_alpha 90.00
_cell_angle_beta 90.00
_cell_angle_gamma 120.00
_symmetry_space_group_name_H-M 'R -3 m'
_symmetry_Int_Tables_number 166
_symmetry_space_group_name_Hall '-R 3 2"'
loop_
_atom_site_label
_atom_site_type_symbol
_atom_site_fract_x
_atom_site_fract_y
_atom_site_fract_z
Zn1 Zn 0.0000 0.0000 0.0000
Cd1 Cd 0.0000 0.0000 0.0807
Sn1 Sn 0.0000 0.0000 0.5000
```



# 2
First-principles (GGA-PBE) data for a relaxed structure of ZnCdSn, as listed in the Alexandria database.

Crystal system: triclinic
ΔH_f (0 K), kcal/mol of atoms: 2.3
Theoretical density, g/cm³: 7.31
Electronic total energy, eV per atom: -1.964

Cell and atoms, written as CIF:
```
data_ZnCdSn
_chemical_formula_sum 'Zn1 Cd1 Sn1'
_cell_length_a 3.117
_cell_length_b 4.242
_cell_length_c 5.603
_cell_angle_alpha 111.80
_cell_angle_beta 100.53
_cell_angle_gamma 90.70
_symmetry_space_group_name_H-M 'P 1'
_symmetry_Int_Tables_number 1
loop_
_symmetry_equiv_pos_as_xyz
'x,y,z'
loop_
_atom_site_label
_atom_site_type_symbol
_atom_site_fract_x
_atom_site_fract_y
_atom_site_fract_z
Zn1 Zn 0.000 0.000 0.000
Cd1 Cd 0.613 0.638 0.274
Sn1 Sn 0.222 0.328 0.652
```



# 3
First-principles (GGA-PBE) data for a relaxed structure of ZnCd2Sn, as listed in the Alexandria database.

Crystal system: tetragonal
ΔH_f (0 K), kcal/mol of atoms: 2.1
Theoretical density, g/cm³: 7.50
Energy relative to the lowest polymorph listed for this composition, eV/atom: 0.007
Electronic total energy, eV per atom: -1.684

Cell and atoms, written as CIF:
```
data_ZnCd2Sn
_chemical_formula_sum 'Zn1 Cd2 Sn1'
_cell_length_a 4.444
_cell_length_b 4.444
_cell_length_c 4.586
_cell_angle_alpha 90.00
_cell_angle_beta 90.00
_cell_angle_gamma 90.00
_symmetry_space_group_name_H-M 'P 4/m m m'
_symmetry_Int_Tables_number 123
_symmetry_space_group_name_Hall '-P 4 2'
loop_
_atom_site_label
_atom_site_type_symbol
_atom_site_fract_x
_atom_site_fract_y
_atom_site_fract_z
Zn1 Zn 0.000 0.000 0.000
Cd1 Cd 0.000 0.500 0.500
Sn1 Sn 0.500 0.500 0.000
```



# 4
First-principles (GGA-PBE) data for a relaxed structure of ZnCdSn, as listed in the Alexandria database.

Crystal system: tetragonal
ΔH_f (0 K), kcal/mol of atoms: 2.7
Theoretical density, g/cm³: 7.33
Electronic total energy, eV per atom: -1.949

Cell and atoms, written as CIF:
```
data_ZnCdSn
_chemical_formula_sum 'Zn2 Cd2 Sn2'
_cell_length_a 3.327
_cell_length_b 3.327
_cell_length_c 12.134
_cell_angle_alpha 90.00
_cell_angle_beta 90.00
_cell_angle_gamma 90.00
_symmetry_space_group_name_H-M 'I 4 m m'
_symmetry_Int_Tables_number 107
_symmetry_space_group_name_Hall 'I 4 -2'
loop_
_atom_site_label
_atom_site_type_symbol
_atom_site_fract_x
_atom_site_fract_y
_atom_site_fract_z
Zn1 Zn 0.000 0.000 0.000
Cd1 Cd 0.000 0.000 0.354
Sn1 Sn 0.000 0.000 0.660
```



# 5
First-principles (GGA-PBE) data for a relaxed structure of Zn2Cd2Sn, as listed in the Alexandria database.

Crystal system: tetragonal
ΔH_f (0 K), kcal/mol of atoms: 3.2
Theoretical density, g/cm³: 7.24
Energy relative to the lowest polymorph listed for this composition, eV/atom: 0.030
Electronic total energy, eV per atom: -1.538

Cell and atoms, written as CIF:
```
data_Zn2Cd2Sn
_chemical_formula_sum 'Zn4 Cd4 Sn2'
_cell_length_a 7.999
_cell_length_b 7.999
_cell_length_c 3.401
_cell_angle_alpha 90.00
_cell_angle_beta 90.00
_cell_angle_gamma 90.00
_symmetry_space_group_name_H-M 'P 4/m b m'
_symmetry_Int_Tables_number 127
_symmetry_space_group_name_Hall '-P 4 2ab'
loop_
_atom_site_label
_atom_site_type_symbol
_atom_site_fract_x
_atom_site_fract_y
_atom_site_fract_z
Zn1 Zn 0.169 0.331 0.000
Cd1 Cd 0.131 0.631 0.500
Sn1 Sn 0.000 0.000 0.500
```



# 6
First-principles (GGA-PBE) data for a relaxed structure of Zn4CdSn, as listed in the Alexandria database.

Crystal system: cubic
ΔH_f (0 K), kcal/mol of atoms: 1.7
Theoretical density, g/cm³: 7.29
Electronic total energy, eV per atom: -1.597

Cell and atoms, written as CIF:
```
data_Zn4CdSn
_chemical_formula_sum 'Zn16 Cd4 Sn4'
_cell_length_a 7.659
_cell_length_b 7.659
_cell_length_c 7.659
_cell_angle_alpha 90.00
_cell_angle_beta 90.00
_cell_angle_gamma 90.00
_symmetry_space_group_name_H-M 'F -4 3 m'
_symmetry_Int_Tables_number 216
_symmetry_space_group_name_Hall 'F -4 2 3'
loop_
_atom_site_label
_atom_site_type_symbol
_atom_site_fract_x
_atom_site_fract_y
_atom_site_fract_z
Zn1 Zn 0.125 0.125 0.125
Cd1 Cd 0.250 0.250 0.750
Sn1 Sn 0.000 0.000 0.500
```



# 7
First-principles (GGA-PBE) data for a relaxed structure of Zn2CdSn2, as listed in the Alexandria database.

Crystal system: tetragonal
ΔH_f (0 K), kcal/mol of atoms: 3.4
Theoretical density, g/cm³: 6.87
Energy relative to the lowest polymorph listed for this composition, eV/atom: 0.058
Electronic total energy, eV per atom: -2.145

Cell and atoms, written as CIF:
```
data_Zn2CdSn2
_chemical_formula_sum 'Zn4 Cd2 Sn4'
_cell_length_a 8.360
_cell_length_b 8.360
_cell_length_c 3.325
_cell_angle_alpha 90.00
_cell_angle_beta 90.00
_cell_angle_gamma 90.00
_symmetry_space_group_name_H-M 'P 4/m b m'
_symmetry_Int_Tables_number 127
_symmetry_space_group_name_Hall '-P 4 2ab'
loop_
_atom_site_label
_atom_site_type_symbol
_atom_site_fract_x
_atom_site_fract_y
_atom_site_fract_z
Zn1 Zn 0.151 0.349 0.000
Cd1 Cd 0.000 0.000 0.500
Sn1 Sn 0.145 0.645 0.500
```



# 8
First-principles (GGA-PBE) data for a relaxed structure of Zn2CdSn, as listed in the Alexandria database.

Crystal system: tetragonal
ΔH_f (0 K), kcal/mol of atoms: 3.3
Theoretical density, g/cm³: 6.74
Energy relative to the lowest polymorph listed for this composition, eV/atom: 0.018
Electronic total energy, eV per atom: -1.725

Cell and atoms, written as CIF:
```
data_Zn2CdSn
_chemical_formula_sum 'Zn8 Cd4 Sn4'
_cell_length_a 4.398
_cell_length_b 4.398
_cell_length_c 18.437
_cell_angle_alpha 90.00
_cell_angle_beta 90.00
_cell_angle_gamma 90.00
_symmetry_space_group_name_H-M 'I -4 2 d'
_symmetry_Int_Tables_number 122
_symmetry_space_group_name_Hall 'I -4 2bw'
loop_
_atom_site_label
_atom_site_type_symbol
_atom_site_fract_x
_atom_site_fract_y
_atom_site_fract_z
Zn1 Zn 0.216 0.250 0.125
Cd1 Cd 0.000 0.000 0.000
Sn1 Sn 0.000 0.000 0.500
```



# 9
First-principles (GGA-PBE) data for a relaxed structure of Zn2Cd2Sn, as listed in the Alexandria database.

Crystal system: tetragonal
ΔH_f (0 K), kcal/mol of atoms: 2.5
Theoretical density, g/cm³: 7.42
Energy relative to the lowest polymorph listed for this composition, eV/atom: 0.000
Electronic total energy, eV per atom: -1.568

Cell and atoms, written as CIF:
```
data_Zn2Cd2Sn
_chemical_formula_sum 'Zn4 Cd4 Sn2'
_cell_length_a 8.297
_cell_length_b 8.297
_cell_length_c 3.084
_cell_angle_alpha 90.00
_cell_angle_beta 90.00
_cell_angle_gamma 90.00
_symmetry_space_group_name_H-M 'P 4/m b m'
_symmetry_Int_Tables_number 127
_symmetry_space_group_name_Hall '-P 4 2ab'
loop_
_atom_site_label
_atom_site_type_symbol
_atom_site_fract_x
_atom_site_fract_y
_atom_site_fract_z
Zn1 Zn 0.114 0.386 0.000
Cd1 Cd 0.182 0.682 0.500
Sn1 Sn 0.000 0.000 0.000
```



# 10
First-principles (GGA-PBE) data for a relaxed structure of ZnCdSn2, as listed in the Alexandria database.

Crystal system: tetragonal
ΔH_f (0 K), kcal/mol of atoms: 2.6
Theoretical density, g/cm³: 7.20
Electronic total energy, eV per atom: -2.434

Cell and atoms, written as CIF:
```
data_ZnCdSn2
_chemical_formula_sum 'Zn1 Cd1 Sn2'
_cell_length_a 3.526
_cell_length_b 3.526
_cell_length_c 7.706
_cell_angle_alpha 90.00
_cell_angle_beta 90.00
_cell_angle_gamma 90.00
_symmetry_space_group_name_H-M 'P 4/m m m'
_symmetry_Int_Tables_number 123
_symmetry_space_group_name_Hall '-P 4 2'
loop_
_atom_site_label
_atom_site_type_symbol
_atom_site_fract_x
_atom_site_fract_y
_atom_site_fract_z
Zn1 Zn 0.000 0.000 0.000
Cd1 Cd 0.000 0.000 0.500
Sn1 Sn 0.500 0.500 0.225
```



# 11
First-principles (GGA-PBE) data for a relaxed structure of Zn2CdSn2, as listed in the Alexandria database.

Crystal system: tetragonal
ΔH_f (0 K), kcal/mol of atoms: 2.1
Theoretical density, g/cm³: 7.20
Energy relative to the lowest polymorph listed for this composition, eV/atom: 0.000
Electronic total energy, eV per atom: -2.203

Cell and atoms, written as CIF:
```
data_Zn2CdSn2
_chemical_formula_sum 'Zn4 Cd2 Sn4'
_cell_length_a 7.309
_cell_length_b 7.309
_cell_length_c 4.153
_cell_angle_alpha 90.00
_cell_angle_beta 90.00
_cell_angle_gamma 90.00
_symmetry_space_group_name_H-M 'P 4/m b m'
_symmetry_Int_Tables_number 127
_symmetry_space_group_name_Hall '-P 4 2ab'
loop_
_atom_site_label
_atom_site_type_symbol
_atom_site_fract_x
_atom_site_fract_y
_atom_site_fract_z
Zn1 Zn 0.124 0.376 0.000
Cd1 Cd 0.000 0.000 0.000
Sn1 Sn 0.179 0.679 0.500
```



# 12
First-principles (GGA-PBE) data for a relaxed structure of ZnCd2Sn, as listed in the Alexandria database.

Crystal system: trigonal
ΔH_f (0 K), kcal/mol of atoms: 2.5
Theoretical density, g/cm³: 7.12
Energy relative to the lowest polymorph listed for this composition, eV/atom: 0.021
Electronic total energy, eV per atom: -1.670

Cell and atoms, written as CIF:
```
data_ZnCd2Sn
_chemical_formula_sum 'Zn3 Cd6 Sn3'
_cell_length_a 4.6276
_cell_length_b 4.6276
_cell_length_c 15.4295
_cell_angle_alpha 90.00
_cell_angle_beta 90.00
_cell_angle_gamma 120.00
_symmetry_space_group_name_H-M 'R 3 m'
_symmetry_Int_Tables_number 160
_symmetry_space_group_name_Hall 'R 3 -2"'
loop_
_atom_site_label
_atom_site_type_symbol
_atom_site_fract_x
_atom_site_fract_y
_atom_site_fract_z
Zn1 Zn 0.0000 0.0000 0.0000
Cd1 Cd 0.0000 0.0000 0.3840
Cd2 Cd 0.0000 0.0000 0.5911
Sn1 Sn 0.0000 0.0000 0.8129
```